Here is a relaxed structure of TiMnFeSi from the Alexandria database. Energies are from PBE-GGA.

Computed properties:
- uncorrected formation energy (eV/atom) = -0.574
- symmetry = F-43m
- total magnetization (μB/f.u.) = 1.00
- Fermi-level density of states (states/eV/atom) = 0.9038

Cell lengths 4.0523, 4.0523, 4.0523 Å; angles 60.00, 60.00, 60.00 degrees
Fractional positions:
Ti: 0.0000 0.0000 0.0000
Mn: 0.2500 0.2500 0.2500
Fe: 0.7500 0.7500 0.7500
Si: 0.5000 0.5000 0.5000

=====

Here is a relaxed structure of UMnFeSi from the Alexandria database. Energies are from PBE-GGA.

Computed properties:
- uncorrected formation energy (eV/atom) = -0.120
- symmetry = F-43m
- total magnetization (μB/f.u.) = 1.17
- Fermi-level density of states (states/eV/atom) = 1.4357

Cell lengths 4.3232, 4.3232, 4.3232 Å; angles 60.00, 60.00, 60.00 degrees
Fractional positions:
U: 0.0000 0.0000 0.0000
Mn: 0.7500 0.7500 0.7500
Fe: 0.2500 0.2500 0.2500
Si: 0.5000 0.5000 0.5000

=====

Here is a relaxed structure of UMnFeSi2 from the Alexandria database. Energies are from PBE-GGA.

Computed properties:
- uncorrected formation energy (eV/atom) = -0.465
- symmetry = I-4m2
- total magnetization (μB/f.u.) = 0.57
- Fermi-level density of states (states/eV/atom) = 1.0684

Cell lengths 5.4530, 5.4530, 5.4530 Å; angles 137.22, 137.22, 62.10 degrees
Fractional positions:
U: 0.0000 0.0000 0.0000
Mn: 0.2500 0.7500 0.5000
Fe: 0.7500 0.2500 0.5000
Si: 0.3713 0.3713 0.0000
Si: 0.6287 0.6287 0.0000

=====

Here is a relaxed structure of Mn2Fe5SiW2 from the Alexandria database. Energies are from PBE-GGA.

Computed properties:
- uncorrected formation energy (eV/atom) = 0.145
- symmetry = P4/mbm
- total magnetization (μB/f.u.) = 3.60
- Fermi-level density of states (states/eV/atom) = 1.0697

Cell lengths 8.1389, 8.1389, 3.6958 Å; angles 90.00, 90.00, 90.00 degrees
Fractional positions:
Mn: 0.1334 0.3666 0.0000
Mn: 0.3666 0.8666 0.0000
Mn: 0.6334 0.1334 0.0000
Mn: 0.8666 0.6334 0.0000
Fe: 0.0000 0.5000 0.5000
Fe: 0.0696 0.1980 0.5000
Fe: 0.1980 0.9304 0.5000
Fe: 0.3020 0.4304 0.5000
Fe: 0.4304 0.6980 0.5000
Fe: 0.5000 0.0000 0.5000
Fe: 0.5696 0.3020 0.5000
Fe: 0.6980 0.5696 0.5000
Fe: 0.8020 0.0696 0.5000
Fe: 0.9304 0.8020 0.5000
Si: 0.0000 0.0000 0.0000
Si: 0.5000 0.5000 0.0000
W: 0.1621 0.6621 0.0000
W: 0.3379 0.1621 0.0000
W: 0.6621 0.8379 0.0000
W: 0.8379 0.3379 0.0000

=====

Here is a relaxed structure of MnFe2SiW from the Alexandria database. Energies are from PBE-GGA.

Computed properties:
- uncorrected formation energy (eV/atom) = 1.810
- symmetry = P4/mmm
- total magnetization (μB/f.u.) = 3.24
- Fermi-level density of states (states/eV/atom) = 1.2673

Cell lengths 4.4225, 4.4225, 4.6427 Å; angles 90.00, 90.00, 90.00 degrees
Fractional positions:
Mn: 0.0000 0.0000 0.0000
Fe: 0.0000 0.5000 0.5000
Fe: 0.5000 0.0000 0.5000
Si: 0.5000 0.5000 0.0000
W: 0.5000 0.5000 0.5000

=====

Here is a relaxed structure of Y2MnFeSi from the Alexandria database. Energies are from PBE-GGA.

Computed properties:
- uncorrected formation energy (eV/atom) = 0.281
- symmetry = P4/mmm
- total magnetization (μB/f.u.) = 2.40
- Fermi-level density of states (states/eV/atom) = 0.8901

Cell lengths 5.1550, 5.1550, 4.1682 Å; angles 90.00, 90.00, 90.00 degrees
Fractional positions:
Y: 0.0000 0.5000 0.0000
Y: 0.5000 0.0000 0.0000
Mn: 0.0000 0.0000 0.5000
Fe: 0.0000 0.0000 0.0000
Si: 0.5000 0.5000 0.5000

=====

Here is a relaxed structure of YMnFeSi2 from the Alexandria database. Energies are from PBE-GGA.

Computed properties:
- uncorrected formation energy (eV/atom) = -0.655
- symmetry = I-4m2
- total magnetization (μB/f.u.) = 2.83
- Fermi-level density of states (states/eV/atom) = 0.4068

Cell lengths 5.7794, 5.7794, 5.7794 Å; angles 140.69, 140.69, 56.80 degrees
Fractional positions:
Y: 0.0000 0.0000 0.0000
Mn: 0.7500 0.2500 0.5000
Fe: 0.2500 0.7500 0.5000
Si: 0.3774 0.3774 0.0000
Si: 0.6226 0.6226 0.0000

=====

Here is a relaxed structure of ZrMnFeSi2 from the Alexandria database. Energies are from PBE-GGA.

Computed properties:
- uncorrected formation energy (eV/atom) = -0.627
- symmetry = I-4m2
- total magnetization (μB/f.u.) = 3.28
- Fermi-level density of states (states/eV/atom) = 0.5862

Cell lengths 5.7178, 5.7178, 5.7178 Å; angles 141.76, 141.76, 55.20 degrees
Fractional positions:
Zr: 0.0000 0.0000 0.0000
Mn: 0.2500 0.7500 0.5000
Fe: 0.7500 0.2500 0.5000
Si: 0.3840 0.3840 0.0000
Si: 0.6160 0.6160 0.0000

=====

Here is a relaxed structure of SmMn10Fe2 from the Alexandria database. Energies are from PBE-GGA.

Computed properties:
- formation energy from the elements (meV per atom) = 49
- symmetry = Cmcm
- total magnetization (μB/f.u.) = 1.60
- Fermi-level density of states (states/eV/atom) = 1.1411

Cell lengths 6.3884, 6.3884, 8.0437 Å; angles 90.00, 90.00, 97.90 degrees
Fractional positions:
Sm: 0.1197 0.8803 0.7500
Sm: 0.8803 0.1197 0.2500
Mn: 0.1288 0.3919 0.7500
Mn: 0.1718 0.8282 0.1074
Mn: 0.1718 0.8282 0.3926
Mn: 0.2285 0.2285 0.0000
Mn: 0.2285 0.2285 0.5000
Mn: 0.2513 0.4833 0.2500
Mn: 0.3919 0.1288 0.2500
Mn: 0.3957 0.6043 0.5695
Mn: 0.3957 0.6043 0.9305
Mn: 0.4833 0.2513 0.7500
Mn: 0.5167 0.7487 0.2500
Mn: 0.6043 0.3957 0.0695
Mn: 0.6043 0.3957 0.4305
Mn: 0.6081 0.8712 0.7500
Mn: 0.7487 0.5167 0.7500
Mn: 0.7715 0.7715 0.0000
Mn: 0.7715 0.7715 0.5000
Mn: 0.8282 0.1718 0.6074
Mn: 0.8282 0.1718 0.8926
Mn: 0.8712 0.6081 0.2500
Fe: 0.0000 0.5000 0.0000
Fe: 0.0000 0.5000 0.5000
Fe: 0.5000 0.0000 0.0000
Fe: 0.5000 0.0000 0.5000

=====

Here is a relaxed structure of SmMnFe4 from the Alexandria database. Energies are from PBE-GGA.

Computed properties:
- formation energy from the elements (meV per atom) = 123
- symmetry = F-43m
- total magnetization (μB/f.u.) = 12.51
- Fermi-level density of states (states/eV/atom) = 1.2562

Cell lengths 5.0079, 5.0079, 5.0079 Å; angles 60.00, 60.00, 60.00 degrees
Fractional positions:
Sm: 0.0000 0.0000 0.0000
Mn: 0.7500 0.7500 0.7500
Fe: 0.3758 0.3758 0.3758
Fe: 0.3758 0.3758 0.8725
Fe: 0.3758 0.8725 0.3758
Fe: 0.8725 0.3758 0.3758

=====

Here is a relaxed structure of Mn2FeSn from the Alexandria database. Energies are from PBE-GGA.

Computed properties:
- formation energy from the elements (meV per atom) = 555
- symmetry = I-42d
- total magnetization (μB/f.u.) = 3.69
- Fermi-level density of states (states/eV/atom) = 1.4618

Cell lengths 5.5125, 5.5125, 5.5125 Å; angles 103.03, 103.03, 123.31 degrees
Fractional positions:
Mn: 0.0771 0.1250 0.4521
Mn: 0.3750 0.9229 0.0479
Mn: 0.6729 0.6250 0.5479
Mn: 0.8750 0.3271 0.9521
Fe: 0.0000 0.0000 0.0000
Fe: 0.7500 0.2500 0.5000
Sn: 0.2500 0.7500 0.5000
Sn: 0.5000 0.5000 0.0000

=====

Here is a relaxed structure of MnFeSn2 from the Alexandria database. Energies are from PBE-GGA.

Computed properties:
- formation energy from the elements (meV per atom) = 507
- excess energy over the best structure of this formula in the dataset (meV/atom) = 177
- symmetry = I-42d
- total magnetization (μB/f.u.) = 6.32
- Fermi-level density of states (states/eV/atom) = 0.8523

Cell lengths 6.0222, 6.0222, 6.0222 Å; angles 104.21, 104.21, 120.61 degrees
Fractional positions:
Mn: 0.0000 0.0000 0.0000
Mn: 0.7500 0.2500 0.5000
Fe: 0.2500 0.7500 0.5000
Fe: 0.5000 0.5000 0.0000
Sn: 0.1378 0.6250 0.0128
Sn: 0.3750 0.3878 0.5128
Sn: 0.6122 0.1250 0.9872
Sn: 0.8750 0.8622 0.4872